(1)
A plane-wave DFT calculation with PBE-GGA was carried out for LiOs2Cl after structural relaxation.

As for the excess energy over the best structure of this formula in the dataset: 719 meV/atom.

```
data_LiOs2Cl
_space_group_name_H-M_alt 'F -4 3 m'
_space_group_IT_number 216
_space_group_name_Hall 'F -4 2 3'
_cell_length_a 6.161
_cell_length_b 6.161
_cell_length_c 6.161
_cell_angle_alpha 90.00
_cell_angle_beta 90.00
_cell_angle_gamma 90.00
loop_
_atom_site_label
_atom_site_fract_x
_atom_site_fract_y
_atom_site_fract_z
Li1 0.000 0.000 0.000
Os1 0.000 0.000 0.500
Os2 0.250 0.250 0.250
Cl1 0.250 0.250 0.750
```

=====

(2)
A plane-wave DFT calculation with PBE-GGA was carried out for Sc2VSn after structural relaxation.

The value obtained for the formation enthalpy at 0 K is 282 meV/atom.

```
data_Sc2VSn
_space_group_name_H-M_alt 'I -4 2 d'
_space_group_IT_number 122
_space_group_name_Hall 'I -4 2bw'
_cell_length_a 7.725
_cell_length_b 7.725
_cell_length_c 5.863
_cell_angle_alpha 90.00
_cell_angle_beta 90.00
_cell_angle_gamma 90.00
loop_
_atom_site_label
_atom_site_fract_x
_atom_site_fract_y
_atom_site_fract_z
Sc1 0.223 0.250 0.125
V1 0.000 0.000 0.000
Sn1 0.000 0.000 0.500
```

=====

(3)
A plane-wave DFT calculation with PBE-GGA was carried out for Ca3TbGa4 after structural relaxation.

The value obtained for the formation enthalpy at 0 K is -473 meV/atom.

```
data_Ca3TbGa4
_space_group_name_H-M_alt 'P 4/m m m'
_space_group_IT_number 123
_space_group_name_Hall '-P 4 2'
_cell_length_a 3.624
_cell_length_b 3.624
_cell_length_c 14.797
_cell_angle_alpha 90.00
_cell_angle_beta 90.00
_cell_angle_gamma 90.00
loop_
_atom_site_label
_atom_site_fract_x
_atom_site_fract_y
_atom_site_fract_z
Ca1 0.000 0.000 0.000
Ca2 0.000 0.000 0.251
Tb1 0.000 0.000 0.500
Ga1 0.500 0.500 0.127
Ga2 0.500 0.500 0.380
```

=====

(4)
A plane-wave DFT calculation with PBE-GGA was carried out for SrNiSb2 after structural relaxation.

The final energy comes out at -62.81 eV/cell.

```
data_SrNiSb2
_space_group_name_H-M_alt 'F m -3 m'
_space_group_IT_number 225
_space_group_name_Hall '-F 4 2 3'
_cell_length_a 7.344
_cell_length_b 7.344
_cell_length_c 7.344
_cell_angle_alpha 90.00
_cell_angle_beta 90.00
_cell_angle_gamma 90.00
loop_
_atom_site_label
_atom_site_fract_x
_atom_site_fract_y
_atom_site_fract_z
Sr1 0.000 0.000 0.000
Ni1 0.000 0.000 0.500
Sb1 0.250 0.250 0.250
```